# 1
An optimized crystal structure of CsMgRuCl6. Source: Alexandria, functional PBE.

Cell lengths 6.403, 6.403, 7.908 Å; angles 90.00, 90.00, 120.00 degrees
Element x y z (fractional)
Cs: 0.000 0.000 0.000
Mg: 0.667 0.333 0.500
Ru: 0.333 0.667 0.500
Cl: 0.016 0.376 0.674
Cl: 0.016 0.640 0.326
Cl: 0.360 0.376 0.326
Cl: 0.360 0.984 0.674
Cl: 0.624 0.640 0.674
Cl: 0.624 0.984 0.326

## Properties
mass density	2.79	Mg/m³
formation energy from raw total energies	-1.2931	eV/atom
space group	P312, No. 149
N(E_F)	9.22	states/eV/f.u.
total magnetization	1.01	μB per cell

# 2
An optimized crystal structure of Tb12Pm7Ho. Source: Alexandria, functional PBE.

Cell lengths 9.822, 9.822, 9.822 Å; angles 109.47, 109.47, 109.47 degrees
Element x y z (fractional)
Tb: 0.000 0.247 0.753
Tb: 0.000 0.753 0.247
Tb: 0.247 0.000 0.753
Tb: 0.247 0.247 0.494
Tb: 0.247 0.494 0.247
Tb: 0.247 0.753 0.000
Tb: 0.494 0.247 0.247
Tb: 0.506 0.753 0.753
Tb: 0.753 0.000 0.247
Tb: 0.753 0.247 0.000
Tb: 0.753 0.506 0.753
Tb: 0.753 0.753 0.506
Pm: 0.000 0.000 0.500
Pm: 0.000 0.500 0.000
Pm: 0.000 0.500 0.500
Pm: 0.500 0.000 0.000
Pm: 0.500 0.000 0.500
Pm: 0.500 0.500 0.000
Pm: 0.500 0.500 0.500
Ho: 0.000 0.000 0.000

## Properties
mass density	7.03	Mg/m³
space group	Im-3m, No. 229
N(E_F)	26.65	states/eV/f.u.
DFT formation energy	0.64	eV/atom
distance to the lowest polymorph of the same formula	407	meV/atom
total magnetization	0.00	μB per cell

# 3
An optimized crystal structure of HoScAs2. Source: Alexandria, functional PBE.

Cell lengths 7.150, 7.150, 7.150 Å; angles 32.22, 32.22, 32.22 degrees
Element x y z (fractional)
Ho: 0.000 0.000 0.000
Sc: 0.829 0.829 0.829
As: 0.417 0.417 0.417
As: 0.578 0.578 0.578

## Properties
mass density	6.47	Mg/m³
space group	R3m, No. 160
N(E_F)	0.39	states/eV/f.u.
DFT formation energy	-1.29	eV/atom
distance to the lowest polymorph of the same formula	148	meV/atom
total magnetization	0.00	μB per cell

# 4
An optimized crystal structure of CaPd2RhC. Source: Alexandria, functional PBE.

Cell lengths 4.354, 4.354, 4.041 Å; angles 90.00, 90.00, 90.00 degrees
Element x y z (fractional)
Ca: 0.000 0.000 0.000
Pd: 0.000 0.500 0.500
Pd: 0.500 0.000 0.500
Rh: 0.500 0.500 0.000
C: 0.500 0.500 0.500

## Properties
mass density	7.97	Mg/m³
space group	P4/mmm, No. 123
N(E_F)	2.56	states/eV/f.u.
DFT formation energy	-0.24	eV/atom
total magnetization	0.00	μB per cell

# 5
An optimized crystal structure of Sr2PuAl4Au3. Source: Alexandria, functional PBE.

Cell lengths 4.481, 4.481, 11.763 Å; angles 90.00, 90.00, 90.00 degrees
Element x y z (fractional)
Sr: 0.000 0.500 0.232
Sr: 0.500 0.000 0.768
Pu: 0.000 0.000 0.500
Al: 0.000 0.000 0.000
Al: 0.000 0.500 0.666
Al: 0.500 0.000 0.334
Al: 0.500 0.500 0.000
Au: 0.000 0.500 0.883
Au: 0.500 0.000 0.117
Au: 0.500 0.500 0.500

## Properties
mass density	7.86	Mg/m³
space group	P-4m2, No. 115
N(E_F)	15.58	states/eV/f.u.
DFT formation energy	-0.41	eV/atom
total magnetization	6.03	μB per cell

# 6
An optimized crystal structure of Tc2MoHOs. Source: Alexandria, functional PBE.

Cell lengths 3.949, 3.949, 3.934 Å; angles 90.00, 90.00, 90.00 degrees
Element x y z (fractional)
Tc: 0.000 0.500 0.000
Tc: 0.500 0.000 0.000
Mo: 0.000 0.000 0.500
H: 0.500 0.500 0.000
Os: 0.500 0.500 0.500

## Properties
mass density	13.08	Mg/m³
space group	P4/mmm, No. 123
N(E_F)	4.30	states/eV/f.u.
distance to the lowest polymorph of the same formula	13	meV/atom
total magnetization	0.00	μB per cell

# 7
An optimized crystal structure of VBiSe2. Source: Alexandria, functional PBE.

Cell lengths 6.891, 6.891, 6.891 Å; angles 120.72, 120.72, 88.75 degrees
Element x y z (fractional)
V: 0.000 0.000 0.000
V: 0.750 0.250 0.500
Bi: 0.250 0.750 0.500
Bi: 0.500 0.500 0.000
Se: 0.058 0.625 0.933
Se: 0.375 0.308 0.433
Se: 0.692 0.125 0.067
Se: 0.875 0.942 0.567

## Properties
mass density	6.07	Mg/m³
formation energy from raw total energies	-0.0903	eV/atom
space group	I-42d, No. 122
N(E_F)	3.95	states/eV/f.u.
total magnetization	4.98	μB per cell

# 8
An optimized crystal structure of K2ZrMn. Source: Alexandria, functional PBE.

Cell lengths 13.191, 13.191, 13.191 Å; angles 14.27, 14.27, 14.27 degrees
Element x y z (fractional)
K: 0.246 0.246 0.246
K: 0.754 0.754 0.754
Zr: 0.000 0.000 0.000
Mn: 0.500 0.500 0.500

## Properties
mass density	3.07	Mg/m³
space group	R-3m, No. 166
N(E_F)	4.22	states/eV/f.u.
DFT formation energy	1.02	eV/atom
distance to the lowest polymorph of the same formula	458	meV/atom
total magnetization	3.25	μB per cell

# 9
An optimized crystal structure of NaPaSnPb. Source: Alexandria, functional PBE.

Cell lengths 5.346, 5.346, 5.346 Å; angles 60.00, 60.00, 60.00 degrees
Element x y z (fractional)
Na: 0.000 0.000 0.000
Pa: 0.500 0.500 0.500
Sn: 0.750 0.750 0.750
Pb: 0.250 0.250 0.250

## Properties
mass density	8.91	Mg/m³
space group	F-43m, No. 216
N(E_F)	4.19	states/eV/f.u.
DFT formation energy	0.05	eV/atom
total magnetization	0.79	μB per cell

# 10
An optimized crystal structure of PmAl4Ag4. Source: Alexandria, functional PBE.

Cell lengths 6.219, 6.219, 9.087 Å; angles 90.00, 90.00, 90.00 degrees
Element x y z (fractional)
Pm: 0.250 0.750 0.250
Pm: 0.750 0.250 0.750
Al: 0.033 0.250 0.052
Al: 0.250 0.033 0.552
Al: 0.250 0.467 0.552
Al: 0.467 0.250 0.052
Al: 0.533 0.750 0.948
Al: 0.750 0.533 0.448
Al: 0.750 0.967 0.448
Al: 0.967 0.750 0.948
Ag: 0.026 0.250 0.344
Ag: 0.250 0.026 0.844
Ag: 0.250 0.474 0.844
Ag: 0.474 0.250 0.344
Ag: 0.526 0.750 0.656
Ag: 0.750 0.526 0.156
Ag: 0.750 0.974 0.156
Ag: 0.974 0.750 0.656

## Properties
mass density	6.47	Mg/m³
space group	P4_2/nmc, No. 137
N(E_F)	4.50	states/eV/f.u.
DFT formation energy	-0.15	eV/atom
total magnetization	0.00	μB per cell

# 11
An optimized crystal structure of YBAsBr2. Source: Alexandria, functional PBE.

Cell lengths 5.488, 5.488, 5.776 Å; angles 90.00, 90.00, 90.00 degrees
Element x y z (fractional)
Y: 0.000 0.000 0.000
B: 0.500 0.500 0.500
As: 0.000 0.000 0.500
Br: 0.000 0.500 0.000
Br: 0.500 0.000 0.000

## Properties
mass density	3.19	Mg/m³
formation energy from raw total energies	0.3620	eV/atom
space group	P4/mmm, No. 123
N(E_F)	3.44	states/eV/f.u.
distance to the lowest polymorph of the same formula	314	meV/atom
total magnetization	1.01	μB per cell

# 12
An optimized crystal structure of CaSm3Cd2. Source: Alexandria, functional PBE.

Cell lengths 5.373, 9.695, 6.980 Å; angles 90.00, 90.00, 90.00 degrees
Element x y z (fractional)
Ca: 0.000 0.041 0.000
Ca: 0.000 0.959 0.500
Sm: 0.000 0.328 0.663
Sm: 0.000 0.672 0.163
Sm: 0.500 0.177 0.299
Sm: 0.500 0.455 0.966
Sm: 0.500 0.545 0.466
Sm: 0.500 0.823 0.799
Cd: 0.000 0.348 0.207
Cd: 0.000 0.652 0.707
Cd: 0.500 0.152 0.758
Cd: 0.500 0.848 0.258

## Properties
mass density	6.54	Mg/m³
space group	Pmc2_1, No. 26
N(E_F)	7.03	states/eV/f.u.
DFT formation energy	-0.20	eV/atom
distance to the lowest polymorph of the same formula	0	meV/atom
total magnetization	0.00	μB per cell

# 13
An optimized crystal structure of Sm3Dy3Tm2. Source: Alexandria, functional PBE.

Cell lengths 8.604, 8.604, 5.972 Å; angles 109.50, 109.50, 38.63 degrees
Element x y z (fractional)
Sm: 0.000 0.000 0.000
Sm: 0.135 0.135 0.696
Sm: 0.865 0.865 0.304
Dy: 0.367 0.367 0.920
Dy: 0.500 0.500 0.500
Dy: 0.633 0.633 0.080
Tm: 0.250 0.250 0.317
Tm: 0.750 0.750 0.683

## Properties
mass density	8.21	Mg/m³
space group	C2/m, No. 12
N(E_F)	14.04	states/eV/f.u.
DFT formation energy	0.09	eV/atom
distance to the lowest polymorph of the same formula	65	meV/atom
total magnetization	0.00	μB per cell

# 14
An optimized crystal structure of DyTm2Sc8. Source: Alexandria, functional PBE.

Cell lengths 9.110, 9.110, 5.469 Å; angles 107.43, 107.43, 123.11 degrees
Element x y z (fractional)
Dy: 0.000 0.000 0.000
Tm: 0.310 0.690 0.500
Tm: 0.690 0.310 0.500
Sc: 0.097 0.355 0.726
Sc: 0.203 0.797 0.000
Sc: 0.355 0.097 0.726
Sc: 0.498 0.498 0.256
Sc: 0.502 0.502 0.744
Sc: 0.645 0.903 0.274
Sc: 0.797 0.203 0.000
Sc: 0.903 0.645 0.274

## Properties
mass density	4.83	Mg/m³
space group	C2/m, No. 12
N(E_F)	16.55	states/eV/f.u.
DFT formation energy	0.13	eV/atom
total magnetization	0.00	μB per cell